1.
Compound: PS3Cl3
Source: Alexandria
Functional: PBE
Structure: relaxed

```
data_PS3Cl3
_chemical_formula_sum 'P2 S6 Cl6'
_cell_length_a 9.300
_cell_length_b 9.311
_cell_length_c 9.525
_cell_angle_alpha 61.39
_cell_angle_beta 61.21
_cell_angle_gamma 60.10
_space_group_name_H-M_alt 'P -1'
_space_group_IT_number 2
_space_group_name_Hall '-P 1'
loop_
_atom_site_label
_atom_site_fract_x
_atom_site_fract_y
_atom_site_fract_z
_atom_site_occupancy
P1 0.211 0.210 0.365 1
S1 0.012 0.014 0.742 1
S2 0.014 0.237 0.739 1
S3 0.235 0.014 0.741 1
Cl1 0.025 0.366 0.238 1
Cl2 0.367 0.366 0.240 1
Cl3 0.369 0.025 0.235 1
```

Formation energy without anion corrections = -0.198 eV per atom
N(E_F) = 0.000 states/eV/f.u.
Density = 1.30 g/cm3
Calculated volume = 42.5 Å³/atom


2.
Compound: PS2Cl8
Source: Alexandria
Functional: PBE
Structure: relaxed

```
data_PS2Cl8
_chemical_formula_sum 'P1 S2 Cl8'
_cell_length_a 7.315
_cell_length_b 7.532
_cell_length_c 8.197
_cell_angle_alpha 98.03
_cell_angle_beta 108.05
_cell_angle_gamma 118.63
_space_group_name_H-M_alt 'P -1'
_space_group_IT_number 2
_space_group_name_Hall '-P 1'
loop_
_atom_site_label
_atom_site_fract_x
_atom_site_fract_y
_atom_site_fract_z
_atom_site_occupancy
P1 0.000 0.000 0.000 1
S1 0.329 0.782 0.760 1
Cl1 0.016 0.946 0.729 1
Cl2 0.048 0.737 0.037 1
Cl3 0.266 0.753 0.499 1
Cl4 0.444 0.309 0.159 1
```

Formation energy without anion corrections = -0.188 eV per atom
N(E_F) = 3.922 states/eV/f.u.
Density = 1.78 g/cm3
Calculated volume = 32.2 Å³/atom


3.
Compound: PSCl2
Source: Alexandria
Functional: PBE
Structure: relaxed

```
data_PSCl2
_chemical_formula_sum 'P3 S3 Cl6'
_cell_length_a 3.0598
_cell_length_b 3.0598
_cell_length_c 30.5361
_cell_angle_alpha 90.00
_cell_angle_beta 90.00
_cell_angle_gamma 120.00
_space_group_name_H-M_alt 'R -3 m'
_space_group_IT_number 166
_space_group_name_Hall '-R 3 2"'
loop_
_atom_site_label
_atom_site_fract_x
_atom_site_fract_y
_atom_site_fract_z
_atom_site_occupancy
P1 0.0000 0.0000 0.0000 1
S1 0.0000 0.0000 0.5000 1
Cl1 0.0000 0.0000 0.0687 1
```

Formation energy without anion corrections = 0.581 eV per atom
N(E_F) = 2.998 states/eV/f.u.
Offset from the most stable computed form = 0.0000 eV/atom
Density = 2.69 g/cm3
Calculated volume = 20.6 Å³/atom


4.
Compound: PS2Cl
Source: Alexandria
Functional: PBE
Structure: relaxed

```
data_PS2Cl
_chemical_formula_sum 'P4 S8 Cl4'
_cell_length_a 6.598
_cell_length_b 5.408
_cell_length_c 16.627
_cell_angle_alpha 90.00
_cell_angle_beta 90.00
_cell_angle_gamma 90.00
_space_group_name_H-M_alt 'P n n a'
_space_group_IT_number 52
_space_group_name_Hall '-P 2a 2bc'
loop_
_atom_site_label
_atom_site_fract_x
_atom_site_fract_y
_atom_site_fract_z
_atom_site_occupancy
P1 0.250 0.000 0.153 1
S1 0.022 0.169 0.110 1
Cl1 0.091 0.750 0.250 1
```

Formation energy without anion corrections = -0.081 eV per atom
N(E_F) = 0.000 states/eV/f.u.
Offset from the most stable computed form = 0.1745 eV/atom
Density = 1.46 g/cm3
Calculated volume = 37.1 Å³/atom


5.
Compound: PS2Cl
Source: Alexandria
Functional: PBE
Structure: relaxed

```
data_PS2Cl
_chemical_formula_sum 'P3 S6 Cl3'
_cell_length_a 3.4668
_cell_length_b 3.4668
_cell_length_c 22.9846
_cell_angle_alpha 90.00
_cell_angle_beta 90.00
_cell_angle_gamma 120.00
_space_group_name_H-M_alt 'R -3 m'
_space_group_IT_number 166
_space_group_name_Hall '-R 3 2"'
loop_
_atom_site_label
_atom_site_fract_x
_atom_site_fract_y
_atom_site_fract_z
_atom_site_occupancy
P1 0.0000 0.0000 0.0000 1
S1 0.0000 0.0000 0.3950 1
Cl1 0.0000 0.0000 0.5000 1
```

Formation energy without anion corrections = 0.213 eV per atom
N(E_F) = 1.585 states/eV/f.u.
Offset from the most stable computed form = 0.4690 eV/atom
Density = 2.72 g/cm3
Calculated volume = 19.9 Å³/atom


6.
Compound: PSCl3
Source: Alexandria
Functional: PBE
Structure: relaxed

```
data_PSCl3
_chemical_formula_sum 'P1 S1 Cl3'
_cell_length_a 4.846
_cell_length_b 4.846
_cell_length_c 4.846
_cell_angle_alpha 90.00
_cell_angle_beta 90.00
_cell_angle_gamma 90.00
_space_group_name_H-M_alt 'P m -3 m'
_space_group_IT_number 221
_space_group_name_Hall '-P 4 2 3'
loop_
_atom_site_label
_atom_site_fract_x
_atom_site_fract_y
_atom_site_fract_z
_atom_site_occupancy
P1 0.000 0.000 0.000 1
S1 0.500 0.500 0.500 1
Cl1 0.000 0.000 0.500 1
```

Formation energy without anion corrections = 0.370 eV per atom
N(E_F) = 2.407 states/eV/f.u.
Offset from the most stable computed form = 0.9537 eV/atom
Density = 2.47 g/cm3
Calculated volume = 22.8 Å³/atom


7.
Compound: PS2Cl
Source: Alexandria
Functional: PBE
Structure: relaxed

```
data_PS2Cl
_chemical_formula_sum 'P4 S8 Cl4'
_cell_length_a 5.913
_cell_length_b 6.948
_cell_length_c 12.708
_cell_angle_alpha 90.00
_cell_angle_beta 100.97
_cell_angle_gamma 90.00
_space_group_name_H-M_alt 'P 1 21/c 1'
_space_group_IT_number 14
_space_group_name_Hall '-P 2ybc'
loop_
_atom_site_label
_atom_site_fract_x
_atom_site_fract_y
_atom_site_fract_z
_atom_site_occupancy
P1 0.235 0.022 0.462 1
S1 0.056 0.714 0.000 1
S2 0.472 0.175 0.568 1
Cl1 0.170 0.112 0.304 1
```

Formation energy without anion corrections = -0.256 eV per atom
N(E_F) = 0.000 states/eV/f.u.
Offset from the most stable computed form = 0.0000 eV/atom
Density = 1.69 g/cm3
Calculated volume = 32.0 Å³/atom


8.
Compound: PSCl2
Source: Alexandria
Functional: PBE
Structure: relaxed

```
data_PSCl2
_chemical_formula_sum 'P4 S4 Cl8'
_cell_length_a 4.245
_cell_length_b 4.245
_cell_length_c 17.463
_cell_angle_alpha 90.00
_cell_angle_beta 90.00
_cell_angle_gamma 90.00
_space_group_name_H-M_alt 'I -4 2 d'
_space_group_IT_number 122
_space_group_name_Hall 'I -4 2bw'
loop_
_atom_site_label
_atom_site_fract_x
_atom_site_fract_y
_atom_site_fract_z
_atom_site_occupancy
P1 0.000 0.000 0.000 1
S1 0.000 0.000 0.500 1
Cl1 0.238 0.250 0.125 1
```

Formation energy without anion corrections = 0.716 eV per atom
N(E_F) = 2.502 states/eV/f.u.
Offset from the most stable computed form = 0.1343 eV/atom
Density = 2.83 g/cm3
Calculated volume = 19.7 Å³/atom